[1]
The following is a DFT calculation (PBE-GGA) of a relaxed structure of TlCd2Co.

Structure (POSCAR):
```
TlCd2Co
1.0
-1.287 -0.479 -2.809
1.585 -2.681 -0.269
-6.480 -4.201 3.685
Cd Co Tl
2 1 1
Direct
0.000 0.000 0.062 Cd
0.000 0.000 0.438 Cd
0.500 0.500 0.250 Co
0.500 0.500 0.750 Tl
```

Energy relative to the lowest polymorph listed for this composition: 38.5 meV per atom
Calculated density: 9.7 g/cm3
Energy relative to the elements: 265 meV per atom
Spin magnetization: 0.95 μB per cell
DOS(E_F): 1.370 states/eV/atom

---

[2]
The following is a DFT calculation (PBE-GGA) of a relaxed structure of TlCd2Co.

Structure (POSCAR):
```
TlCd2Co
1.0
-5.000 1.666 -0.087
-2.744 -2.161 3.948
4.609 2.553 -0.157
Cd Co Tl
2 1 1
Direct
0.000 0.000 0.000 Cd
0.250 0.750 0.500 Cd
0.500 0.500 0.000 Co
0.750 0.250 0.500 Tl
```

Energy relative to the lowest polymorph listed for this composition: 183.0 meV per atom
Calculated density: 10.4 g/cm3
Energy relative to the elements: 410 meV per atom
Spin magnetization: 0.87 μB per cell
DOS(E_F): 0.868 states/eV/atom

---

[3]
The following is a DFT calculation (PBE-GGA) of a relaxed structure of Tl2CdCo.

Structure (POSCAR):
```
Tl2CdCo
1.0
0.000 3.532 3.532
3.532 0.000 3.532
3.532 3.532 0.000
Tl Co Cd
2 1 1
Direct
0.250 0.250 0.250 Tl
0.750 0.750 0.750 Tl
0.000 0.000 0.000 Co
0.500 0.500 0.500 Cd
```

Energy relative to the lowest polymorph listed for this composition: 266.7 meV per atom
Calculated density: 10.9 g/cm3
Energy relative to the elements: 557 meV per atom
Spin magnetization: 1.36 μB per cell
DOS(E_F): 1.611 states/eV/atom

---

[4]
The following is a DFT calculation (PBE-GGA) of a relaxed structure of TlCd2Co.

Structure (POSCAR):
```
TlCd2Co
1.0
5.466 0.032 0.000
2.401 4.910 0.000
-3.933 -2.471 2.881
Cd Co Tl
2 1 1
Direct
0.000 0.000 0.000 Cd
0.500 0.500 0.000 Cd
0.250 0.750 0.500 Co
0.750 0.250 0.500 Tl
```

Energy relative to the lowest polymorph listed for this composition: 161.3 meV per atom
Calculated density: 10.5 g/cm3
Energy relative to the elements: 388 meV per atom
Spin magnetization: 0.28 μB per cell
DOS(E_F): 0.552 states/eV/atom

---

[5]
The following is a DFT calculation (PBE-GGA) of a relaxed structure of Tl2CdCo.

Structure (POSCAR):
```
Tl2CdCo
1.0
4.276 0.000 0.000
0.000 3.834 0.004
0.000 2.602 5.649
Cd Co Tl
1 1 2
Direct
0.500 0.250 0.250 Cd
0.500 0.750 0.750 Co
0.000 0.875 0.976 Tl
0.000 0.625 0.524 Tl
```

Energy relative to the lowest polymorph listed for this composition: 186.3 meV per atom
Calculated density: 10.4 g/cm3
Energy relative to the elements: 476 meV per atom
Spin magnetization: 1.26 μB per cell
DOS(E_F): 0.953 states/eV/atom

---

[6]
The following is a DFT calculation (PBE-GGA) of a relaxed structure of TlCd2Co.

Structure (POSCAR):
```
TlCd2Co
1.0
3.175 0.000 0.000
0.000 3.175 0.000
0.000 0.000 8.014
Cd Co Tl
2 1 1
Direct
0.000 0.000 0.016 Cd
0.500 0.500 0.293 Cd
0.000 0.000 0.491 Co
0.500 0.500 0.700 Tl
```

Energy relative to the lowest polymorph listed for this composition: 112.2 meV per atom
Calculated density: 10.0 g/cm3
Energy relative to the elements: 339 meV per atom
Spin magnetization: 1.00 μB per cell
DOS(E_F): 1.078 states/eV/atom

---

The records above yield electronic total energy values of -2.5601, -2.4156, -2.6317, -2.4373, -2.7120, -2.4864 eV/atom, respectively.